! ReWOF2 | the Alexandria database | PBE with a Hubbard U | relaxed; values from VASP
&SYSTEM
  ibrav = 0, nat = 5, ntyp = 4
/
ATOMIC_SPECIES
Re 186.21 Re.upf
O 16.00 O.upf
W 183.84 W.upf
F 19.00 F.upf
ATOMIC_POSITIONS crystal
Re 0.500 0.500 0.500
O 0.000 0.000 0.500
W 0.000 0.000 0.000
F 0.000 0.500 0.000
F 0.500 0.000 0.000
CELL_PARAMETERS angstrom
-4.281 0.390 -0.103
-0.259 -3.500 -2.484
-0.307 -2.454 3.490
! excess energy over the best structure of this formula in the dataset: 0.000 eV per atom